## P
Below is a relaxed NpBe3As3 crystal, with properties calculated at the PBE level.

```
data_NpBe3As3
_space_group_name_H-M_alt 'R -3'
_space_group_IT_number 148
_space_group_name_Hall '-R 3'
_cell_length_a 6.6182
_cell_length_b 6.6182
_cell_length_c 20.0161
_cell_angle_alpha 90.00
_cell_angle_beta 90.00
_cell_angle_gamma 120.00
loop_
_atom_site_label
_atom_site_type_symbol
_atom_site_fract_x
_atom_site_fract_y
_atom_site_fract_z
Np1 Np 0.0000 0.0000 0.1662
Be1 Be 0.0009 0.3398 0.6241
As1 As 0.0002 0.3251 0.4085
```

**Fermi-level density of states**: 10.078 states/eV/f.u.

## Q
Below is a relaxed NpBe3As3 crystal, with properties calculated at the PBE level.

```
data_NpBe3As3
_space_group_name_H-M_alt 'P m -3 n'
_space_group_IT_number 223
_space_group_name_Hall '-P 4n 2 3'
_cell_length_a 6.311
_cell_length_b 6.311
_cell_length_c 6.311
_cell_angle_alpha 90.00
_cell_angle_beta 90.00
_cell_angle_gamma 90.00
loop_
_atom_site_label
_atom_site_type_symbol
_atom_site_fract_x
_atom_site_fract_y
_atom_site_fract_z
Np1 Np 0.000 0.000 0.000
Be1 Be 0.000 0.250 0.500
As1 As 0.000 0.500 0.250
```

**Fermi-level density of states**: 6.232 states/eV/f.u.

It comes down to P, which is 255 meV/atom more stable than the next structure.

## P
Below is a relaxed BeAsPO2 crystal, with properties calculated at the PBE level.

```
data_BeAsPO2
_space_group_name_H-M_alt 'P 4/m m m'
_space_group_IT_number 123
_space_group_name_Hall '-P 4 2'
_cell_length_a 3.602
_cell_length_b 3.602
_cell_length_c 5.081
_cell_angle_alpha 90.00
_cell_angle_beta 90.00
_cell_angle_gamma 90.00
loop_
_atom_site_label
_atom_site_type_symbol
_atom_site_fract_x
_atom_site_fract_y
_atom_site_fract_z
Be1 Be 0.000 0.000 0.000
As1 As 0.500 0.500 0.500
P1 P 0.500 0.500 0.000
O1 O 0.000 0.500 0.500
```

**Fermi-level density of states**: 1.381 states/eV/f.u.

## Q
Below is a relaxed BeAsPO2 crystal, with properties calculated at the PBE level.

```
data_BeAsPO2
_space_group_name_H-M_alt 'P 4/m m m'
_space_group_IT_number 123
_space_group_name_Hall '-P 4 2'
_cell_length_a 3.464
_cell_length_b 3.464
_cell_length_c 4.875
_cell_angle_alpha 90.00
_cell_angle_beta 90.00
_cell_angle_gamma 90.00
loop_
_atom_site_label
_atom_site_type_symbol
_atom_site_fract_x
_atom_site_fract_y
_atom_site_fract_z
Be1 Be 0.000 0.000 0.000
As1 As 0.500 0.500 0.500
P1 P 0.000 0.000 0.500
O1 O 0.000 0.500 0.000
```

**Fermi-level density of states**: 3.544 states/eV/f.u.

It comes down to Q, which is 165 meV/atom more stable than the next structure.

## P
Below is a relaxed BeTeAs2O crystal, with properties calculated at the PBE level.

```
data_BeTeAs2O
_space_group_name_H-M_alt 'P 4/m m m'
_space_group_IT_number 123
_space_group_name_Hall '-P 4 2'
_cell_length_a 5.381
_cell_length_b 5.381
_cell_length_c 3.900
_cell_angle_alpha 90.00
_cell_angle_beta 90.00
_cell_angle_gamma 90.00
loop_
_atom_site_label
_atom_site_type_symbol
_atom_site_fract_x
_atom_site_fract_y
_atom_site_fract_z
Be1 Be 0.000 0.000 0.000
Te1 Te 0.500 0.500 0.500
As1 As 0.000 0.500 0.500
O1 O 0.500 0.500 0.000
```

**Fermi-level density of states**: 2.962 states/eV/f.u.

## Q
Below is a relaxed BeTeAs2O crystal, with properties calculated at the PBE level.

```
data_BeTeAs2O
_space_group_name_H-M_alt 'P 4/m m m'
_space_group_IT_number 123
_space_group_name_Hall '-P 4 2'
_cell_length_a 4.224
_cell_length_b 4.224
_cell_length_c 5.210
_cell_angle_alpha 90.00
_cell_angle_beta 90.00
_cell_angle_gamma 90.00
loop_
_atom_site_label
_atom_site_type_symbol
_atom_site_fract_x
_atom_site_fract_y
_atom_site_fract_z
Be1 Be 0.000 0.000 0.000
Te1 Te 0.000 0.000 0.500
As1 As 0.000 0.500 0.000
O1 O 0.500 0.500 0.500
```

**Fermi-level density of states**: 4.383 states/eV/f.u.

It comes down to Q, which is 32 meV/atom more stable than the next structure.

## P
Below is a relaxed BeAsOs crystal, with properties calculated at the PBE level.

```
data_BeAsOs
_space_group_name_H-M_alt 'I m m 2'
_space_group_IT_number 44
_space_group_name_Hall 'I 2 -2'
_cell_length_a 3.021
_cell_length_b 3.367
_cell_length_c 7.535
_cell_angle_alpha 90.00
_cell_angle_beta 90.00
_cell_angle_gamma 90.00
loop_
_atom_site_label
_atom_site_type_symbol
_atom_site_fract_x
_atom_site_fract_y
_atom_site_fract_z
Be1 Be 0.000 0.000 0.000
As1 As 0.000 0.000 0.325
Os1 Os 0.000 0.000 0.660
```

**Fermi-level density of states**: 1.262 states/eV/f.u.

## Q
Below is a relaxed BeAsOs crystal, with properties calculated at the PBE level.

```
data_BeAsOs
_space_group_name_H-M_alt 'P 3 m 1'
_space_group_IT_number 156
_space_group_name_Hall 'P 3 -2"'
_cell_length_a 4.0965
_cell_length_b 4.0965
_cell_length_c 2.9598
_cell_angle_alpha 90.00
_cell_angle_beta 90.00
_cell_angle_gamma 120.00
loop_
_atom_site_label
_atom_site_type_symbol
_atom_site_fract_x
_atom_site_fract_y
_atom_site_fract_z
Be1 Be 0.0000 0.0000 0.0000
As1 As 0.6667 0.3333 0.5035
Os1 Os 0.3333 0.6667 0.5038
```

**Fermi-level density of states**: 1.276 states/eV/f.u.

## R
Below is a relaxed BeAsOs crystal, with properties calculated at the PBE level.

```
data_BeAsOs
_space_group_name_H-M_alt 'F -4 3 m'
_space_group_IT_number 216
_space_group_name_Hall 'F -4 2 3'
_cell_length_a 5.473
_cell_length_b 5.473
_cell_length_c 5.473
_cell_angle_alpha 90.00
_cell_angle_beta 90.00
_cell_angle_gamma 90.00
loop_
_atom_site_label
_atom_site_type_symbol
_atom_site_fract_x
_atom_site_fract_y
_atom_site_fract_z
Be1 Be 0.000 0.000 0.000
As1 As 0.250 0.250 0.750
Os1 Os 0.250 0.250 0.250
```

**Fermi-level density of states**: 1.373 states/eV/f.u.

It comes down to P, which is 348 meV/atom more stable than the next structure.

## P
Below is a relaxed BeAsOs crystal, with properties calculated at the PBE level.

```
data_BeAsOs
_space_group_name_H-M_alt 'P 1'
_space_group_IT_number 1
_space_group_name_Hall 'P 1'
_cell_length_a 2.810
_cell_length_b 2.893
_cell_length_c 5.849
_cell_angle_alpha 89.33
_cell_angle_beta 89.94
_cell_angle_gamma 61.06
loop_
_atom_site_label
_atom_site_type_symbol
_atom_site_fract_x
_atom_site_fract_y
_atom_site_fract_z
Be1 Be 0.000 0.000 0.000
As1 As 0.683 0.625 0.301
Os1 Os 0.671 0.657 0.721
```

**Fermi-level density of states**: 1.908 states/eV/f.u.

## Q
Below is a relaxed BeAsOs crystal, with properties calculated at the PBE level.

```
data_BeAsOs
_space_group_name_H-M_alt 'P 3 m 1'
_space_group_IT_number 156
_space_group_name_Hall 'P 3 -2"'
_cell_length_a 2.9026
_cell_length_b 2.9026
_cell_length_c 5.6775
_cell_angle_alpha 90.00
_cell_angle_beta 90.00
_cell_angle_gamma 120.00
loop_
_atom_site_label
_atom_site_type_symbol
_atom_site_fract_x
_atom_site_fract_y
_atom_site_fract_z
Be1 Be 0.0000 0.0000 0.0000
As1 As 0.3333 0.6667 0.6399
Os1 Os 0.6667 0.3333 0.3030
```

**Fermi-level density of states**: 1.571 states/eV/f.u.

## R
Below is a relaxed BeAsOs crystal, with properties calculated at the PBE level.

```
data_BeAsOs
_space_group_name_H-M_alt 'F -4 3 m'
_space_group_IT_number 216
_space_group_name_Hall 'F -4 2 3'
_cell_length_a 5.672
_cell_length_b 5.672
_cell_length_c 5.672
_cell_angle_alpha 90.00
_cell_angle_beta 90.00
_cell_angle_gamma 90.00
loop_
_atom_site_label
_atom_site_type_symbol
_atom_site_fract_x
_atom_site_fract_y
_atom_site_fract_z
Be1 Be 0.000 0.000 0.000
As1 As 0.000 0.000 0.500
Os1 Os 0.250 0.250 0.250
```

**Fermi-level density of states**: 2.042 states/eV/f.u.

It comes down to Q, which is 67 meV/atom more stable than the next structure.

## P
Below is a relaxed BeAsOsSe2 crystal, with properties calculated at the PBE level.

```
data_BeAsOsSe2
_space_group_name_H-M_alt 'P 4/m m m'
_space_group_IT_number 123
_space_group_name_Hall '-P 4 2'
_cell_length_a 4.471
_cell_length_b 4.471
_cell_length_c 4.211
_cell_angle_alpha 90.00
_cell_angle_beta 90.00
_cell_angle_gamma 90.00
loop_
_atom_site_label
_atom_site_type_symbol
_atom_site_fract_x
_atom_site_fract_y
_atom_site_fract_z
Be1 Be 0.000 0.000 0.000
As1 As 0.000 0.000 0.500
Os1 Os 0.500 0.500 0.500
Se1 Se 0.000 0.500 0.000
```

**Fermi-level density of states**: 6.205 states/eV/f.u.

## Q
Below is a relaxed BeAsOsSe2 crystal, with properties calculated at the PBE level.

```
data_BeAsOsSe2
_space_group_name_H-M_alt 'P 4/m m m'
_space_group_IT_number 123
_space_group_name_Hall '-P 4 2'
_cell_length_a 5.037
_cell_length_b 5.037
_cell_length_c 4.629
_cell_angle_alpha 90.00
_cell_angle_beta 90.00
_cell_angle_gamma 90.00
loop_
_atom_site_label
_atom_site_type_symbol
_atom_site_fract_x
_atom_site_fract_y
_atom_site_fract_z
Be1 Be 0.000 0.000 0.000
As1 As 0.500 0.500 0.000
Os1 Os 0.500 0.500 0.500
Se1 Se 0.000 0.500 0.500
```

**Fermi-level density of states**: 6.336 states/eV/f.u.

It comes down to P, which is 27 meV/atom more stable than the next structure.

## P
Below is a relaxed Be4AsP crystal, with properties calculated at the PBE level.

```
data_Be4AsP
_space_group_name_H-M_alt 'F -4 3 m'
_space_group_IT_number 216
_space_group_name_Hall 'F -4 2 3'
_cell_length_a 6.435
_cell_length_b 6.435
_cell_length_c 6.435
_cell_angle_alpha 90.00
_cell_angle_beta 90.00
_cell_angle_gamma 90.00
loop_
_atom_site_label
_atom_site_type_symbol
_atom_site_fract_x
_atom_site_fract_y
_atom_site_fract_z
Be1 Be 0.124 0.124 0.124
As1 As 0.000 0.000 0.500
P1 P 0.250 0.250 0.750
```

**Fermi-level density of states**: 1.744 states/eV/f.u.

## Q
Below is a relaxed Be4AsP crystal, with properties calculated at the PBE level.

```
data_Be4AsP
_space_group_name_H-M_alt 'P 1 21/c 1'
_space_group_IT_number 14
_space_group_name_Hall '-P 2ybc'
_cell_length_a 7.039
_cell_length_b 4.290
_cell_length_c 5.728
_cell_angle_alpha 90.00
_cell_angle_beta 113.41
_cell_angle_gamma 90.00
loop_
_atom_site_label
_atom_site_type_symbol
_atom_site_fract_x
_atom_site_fract_y
_atom_site_fract_z
Be1 Be 0.194 0.228 0.360
Be2 Be 0.288 0.736 0.135
As1 As 0.500 0.000 0.000
P1 P 0.000 0.000 0.000
```

**Fermi-level density of states**: 0.944 states/eV/f.u.

It comes down to Q, which is 199 meV/atom more stable than the next structure.

## P
Below is a relaxed Be2AsP crystal, with properties calculated at the PBE level.

```
data_Be2AsP
_space_group_name_H-M_alt 'P 4/m m m'
_space_group_IT_number 123
_space_group_name_Hall '-P 4 2'
_cell_length_a 4.414
_cell_length_b 4.414
_cell_length_c 2.651
_cell_angle_alpha 90.00
_cell_angle_beta 90.00
_cell_angle_gamma 90.00
loop_
_atom_site_label
_atom_site_type_symbol
_atom_site_fract_x
_atom_site_fract_y
_atom_site_fract_z
Be1 Be 0.000 0.500 0.000
As1 As 0.000 0.000 0.500
P1 P 0.500 0.500 0.500
```

**Fermi-level density of states**: 1.396 states/eV/f.u.

## Q
Below is a relaxed Be2AsP crystal, with properties calculated at the PBE level.

```
data_Be2AsP
_space_group_name_H-M_alt 'F -4 3 m'
_space_group_IT_number 216
_space_group_name_Hall 'F -4 2 3'
_cell_length_a 5.912
_cell_length_b 5.912
_cell_length_c 5.912
_cell_angle_alpha 90.00
_cell_angle_beta 90.00
_cell_angle_gamma 90.00
loop_
_atom_site_label
_atom_site_type_symbol
_atom_site_fract_x
_atom_site_fract_y
_atom_site_fract_z
Be1 Be 0.000 0.000 0.000
Be2 Be 0.250 0.250 0.250
As1 As 0.250 0.250 0.750
P1 P 0.000 0.000 0.500
```

**Fermi-level density of states**: 0.987 states/eV/f.u.

## R
Below is a relaxed Be2AsP crystal, with properties calculated at the PBE level.

```
data_Be2AsP
_space_group_name_H-M_alt 'I 4/m m m'
_space_group_IT_number 139
_space_group_name_Hall '-I 4 2'
_cell_length_a 3.934
_cell_length_b 3.934
_cell_length_c 6.609
_cell_angle_alpha 90.00
_cell_angle_beta 90.00
_cell_angle_gamma 90.00
loop_
_atom_site_label
_atom_site_type_symbol
_atom_site_fract_x
_atom_site_fract_y
_atom_site_fract_z
Be1 Be 0.000 0.500 0.250
As1 As 0.000 0.000 0.000
P1 P 0.000 0.000 0.500
```

**Fermi-level density of states**: 1.774 states/eV/f.u.

## S
Below is a relaxed Be2AsP crystal, with properties calculated at the PBE level.

```
data_Be2AsP
_space_group_name_H-M_alt 'I m m 2'
_space_group_IT_number 44
_space_group_name_Hall 'I 2 -2'
_cell_length_a 3.209
_cell_length_b 3.220
_cell_length_c 10.428
_cell_angle_alpha 90.00
_cell_angle_beta 90.00
_cell_angle_gamma 90.00
loop_
_atom_site_label
_atom_site_type_symbol
_atom_site_fract_x
_atom_site_fract_y
_atom_site_fract_z
Be1 Be 0.000 0.000 0.000
Be2 Be 0.000 0.500 0.319
As1 As 0.000 0.500 0.686
P1 P 0.000 0.000 0.458
```

**Fermi-level density of states**: 1.196 states/eV/f.u.

It comes down to S, which is 236 meV/atom more stable than the next structure.